Entry 1:
Tb6TlTe3Se2: optimized geometry, PBE.

```
Tb6TlTe3Se2
1.0
-3.989 -1.233 -0.496
2.092 -7.969 2.995
-0.462 5.468 7.951
Tb Te Se Tl
6 3 2 1
direct
0.007 0.249 0.014
0.335 0.897 0.670
0.674 0.567 0.348
0.326 0.433 0.652
0.665 0.103 0.330
0.993 0.751 0.986
0.166 0.830 0.331
0.500 0.500 0.000
0.834 0.170 0.669
0.832 0.665 0.664
0.168 0.335 0.336
0.500 0.000 0.000
```

## Properties
**Volume**: 28.0 Å³ per atom
**Magnetization**: 0.00 μB/f.u.
**ΔE_f (raw)**: -1.313 eV/atom

---

Entry 2:
Al3VNi6: optimized geometry, PBE.

```
Al3VNi6
1.0
-2.533 -1.217 2.525
5.221 -4.682 2.981
1.740 6.443 4.849
Ni Al V
12 6 2
direct
0.750 0.546 0.898
0.250 0.454 0.102
0.250 0.056 0.904
0.750 0.154 0.707
0.750 0.746 0.490
0.250 0.150 0.213
0.250 0.640 0.691
0.250 0.846 0.293
0.750 0.850 0.787
0.750 0.360 0.309
0.250 0.254 0.510
0.750 0.944 0.096
0.750 0.652 0.192
0.250 0.348 0.808
0.750 0.244 0.021
0.250 0.550 0.397
0.250 0.756 0.979
0.750 0.450 0.603
0.750 0.055 0.393
0.250 0.945 0.607
```

## Properties
**Volume**: 11.8 Å³ per atom
**Energy relative to the elements**: -0.447 eV/atom
**Magnetization**: 1.02 μB/f.u.

---

Entry 3:
MnCd3Pt4: optimized geometry, PBE.

```
MnCd3Pt4
1.0
3.002 0.000 0.000
0.000 3.002 0.000
0.000 0.000 15.029
Cd Mn Pt
3 1 4
direct
0.500 0.500 0.500
0.500 0.500 0.758
0.500 0.500 0.242
0.500 0.500 0.000
0.000 0.000 0.109
0.000 0.000 0.891
0.000 0.000 0.629
0.000 0.000 0.371
```

## Properties
**Volume**: 16.9 Å³ per atom
**Energy relative to the elements**: -0.347 eV/atom
**Magnetization**: 4.35 μB/f.u.

---

Entry 4:
NaNiBiI2: optimized geometry, PBE.

```
NaNiBiI2
1.0
-2.957 4.494 -1.642
-3.313 -0.802 3.768
3.074 3.264 3.397
I Na Ni Bi
2 1 1 1
direct
0.500 0.000 0.000
0.000 0.000 0.500
0.000 0.000 0.000
0.000 0.500 0.000
0.500 0.500 0.500
```

## Properties
**Volume**: 32.2 Å³ per atom
**Magnetization**: 0.00 μB/f.u.
**ΔE_f (raw)**: 0.669 eV/atom

---

Entry 5:
SrCeMgSn: optimized geometry, PBE.

```
SrCeMgSn
1.0
-1.509 -1.104 5.264
-3.015 -4.562 1.143
2.332 -4.276 2.735
Sn Sr Ce Mg
1 1 1 1
direct
0.250 0.250 0.250
0.500 0.500 0.500
0.000 0.000 0.000
0.750 0.750 0.750
```

## Properties
**Volume**: 30.8 Å³ per atom
**Energy relative to the elements**: -0.271 eV/atom
**Magnetization**: 1.44 μB/f.u.

---

Entry 6:
DyNpRh2: optimized geometry, PBE.

```
DyNpRh2
1.0
-0.962 4.697 0.610
-0.992 1.711 4.410
3.186 2.845 2.261
Rh Dy Np
2 1 1
direct
0.750 0.750 0.750
0.250 0.250 0.250
0.500 0.500 0.500
0.000 0.000 0.000
```

## Properties
**Volume**: 20.0 Å³ per atom
**Energy relative to the elements**: -0.502 eV/atom
**Magnetization**: 3.40 μB/f.u.